(1)
Compound: Nd3Sm5Dy4
Source: Alexandria via LeMat-Bulk
Functional: PBE-GGA
Structure: optimized geometry

a b c (Å): 6.259 7.220 8.847
angles (deg): 90.06 90.07 90.09
Space group P-1 (No. 2)
Asymmetric unit:
Nd  0.000  0.000  0.000 [1 per cell]
Nd  0.166  0.749  0.665 [2 per cell]
Sm  0.000  0.500  0.000 [1 per cell]
Sm  0.334  0.000  0.334 [2 per cell]
Sm  0.499  0.252  0.000 [2 per cell]
Dy  0.168  0.252  0.666 [2 per cell]
Dy  0.334  0.500  0.334 [2 per cell]

Properties
Polymorph energy (0 for the lowest one): 0.000 eV per atom
Magnetization: 0.0 μB/f.u.

***

(2)
Compound: Nd12SmDy6
Source: Alexandria via LeMat-Bulk
Functional: PBE-GGA
Structure: optimized geometry

a b c (Å): 14.8971 14.8971 10.5039
angles (deg): 90.00 90.00 120.00
Space group R-3 (No. 148, hexagonal axes)
Asymmetric unit:
Nd  0.0546  0.8011  0.0800 [18 per cell]
Nd  0.0640  0.8389  0.4183 [18 per cell]
Sm  0.0000  0.0000  0.0000 [3 per cell]
Dy  0.0507  0.8352  0.7588 [18 per cell]

Properties
Polymorph energy (0 for the lowest one): 0.101 eV per atom
Magnetization: 0.0 μB/f.u.

***

Q: Which energy of formation values were calculated for the entries above? A: 0.33, 5.37, in kcal/mol of atoms.